Record 1
VASP calculation (PBE-GGA) on a relaxed KCl crystal.

Cell: 5.3879 5.3879 6.3031 Å, 90.00 90.00 120.00°
Last column: nearest neighbours and their distance in Å.
Element x y z (fractional)
K (0.3333, 0.6667, 0.2500)  5 Cl 3.11-3.15
K (0.6667, 0.3333, 0.7500)  5 Cl 3.11-3.15
Cl (0.3333, 0.6667, 0.7500)  5 K 3.11-3.15
Cl (0.6667, 0.3333, 0.2500)  5 K 3.11-3.15

Calculated values
Space-group type: P6_3/mmc
Formation energy from raw total energies (eV per atom): -1.92

***

Record 2
VASP calculation (PBE-GGA) on a relaxed LaTmZnNi crystal.

Cell: 5.0195 5.0195 5.0195 Å, 60.00 60.00 60.00°
Last column: nearest neighbours and their distance in Å.
Element x y z (fractional)
Ni (0.2500, 0.2500, 0.2500)  4 Tm 3.07, 4 La 3.07
Zn (0.7500, 0.7500, 0.7500)  4 La 3.07, 4 Tm 3.07
Tm (0.0000, 0.0000, 0.0000)  4 Ni 3.07, 4 Zn 3.07
La (0.5000, 0.5000, 0.5000)  4 Zn 3.07, 4 Ni 3.07

Calculated values
Space-group type: F-43m
ΔE_f (eV/f.u.): -1.13

***

no.,density of states at the Fermi level (states/eV/atom),electronic total energy (eV per atom)
1,0.000,-3.3880
2,0.941,-4.3953